1.
{
  "formula": "Nd2Dy3Y6Mg",
  "functional": "GGA-PBE",
  "state": "optimized geometry",
  "cell": [[-2.388, -3.952, -4.081], [-1.117, -0.729, 6.017], [-8.282, 8.259, -1.594]],
  "species": ["Dy", "Nd", "Y", "Mg", "Y", "Y", "Dy", "Nd", "Dy", "Y", "Y", "Y"],
  "fractional_positions": [[0.835, 0.165, 0.500], [0.334, 0.666, 0.000], [0.586, 0.917, 0.749], [0.000, 0.000, 0.000], [0.752, 0.752, 0.252], [0.248, 0.248, 0.748], [0.500, 0.500, 0.500], [0.666, 0.334, 0.000], [0.165, 0.835, 0.500], [0.414, 0.083, 0.251], [0.917, 0.586, 0.749], [0.083, 0.414, 0.251]],
  "formation_energy_ev_per_atom": 0.022,
  "magnetic_moment_mub_per_fu": 0.00,
  "crystal_system": "monoclinic",
  "space_group": "C2/m, No. 12",
  "density_kg_m3": 5795,
  "total_energy_ev_per_atom": -5.288
}

2.
{
  "formula": "NdDy2Y2Mg",
  "functional": "GGA-PBE",
  "state": "optimized geometry",
  "cell": [[3.619, 0.000, 0.000], [0.000, 11.744, 0.000], [0.000, 0.000, 10.485]],
  "species": ["Dy", "Nd", "Y", "Y", "Y", "Y", "Dy", "Mg", "Dy", "Nd", "Mg", "Dy"],
  "fractional_positions": [[0.500, 0.229, 0.580], [0.500, 0.500, 0.000], [0.500, 0.069, 0.245], [0.000, 0.569, 0.255], [0.500, 0.931, 0.755], [0.000, 0.431, 0.745], [0.500, 0.771, 0.420], [0.500, 0.500, 0.500], [0.000, 0.271, 0.080], [0.000, 0.000, 0.500], [0.000, 0.000, 0.000], [0.000, 0.729, 0.920]],
  "formation_energy_ev_per_atom": 0.495,
  "magnetic_moment_mub_per_fu": 0.00,
  "crystal_system": "orthorhombic",
  "space_group": "Pnnm, No. 58",
  "density_kg_m3": 5003,
  "total_energy_ev_per_atom": -4.254
}

3.
{
  "formula": "Nd3Dy2Y6Mg",
  "functional": "GGA-PBE",
  "state": "optimized geometry",
  "cell": [[-5.056, -3.595, 0.095], [3.564, 0.484, 5.055], [-5.848, 10.073, 1.882]],
  "species": ["Nd", "Y", "Dy", "Y", "Y", "Mg", "Y", "Y", "Nd", "Dy", "Nd", "Y"],
  "fractional_positions": [[0.834, 0.166, 0.500], [0.081, 0.412, 0.245], [0.334, 0.666, 0.000], [0.251, 0.251, 0.755], [0.412, 0.081, 0.245], [0.000, 0.000, 0.000], [0.919, 0.588, 0.755], [0.749, 0.749, 0.245], [0.500, 0.500, 0.500], [0.666, 0.334, 0.000], [0.166, 0.834, 0.500], [0.588, 0.919, 0.755]],
  "formation_energy_ev_per_atom": 0.031,
  "magnetic_moment_mub_per_fu": 0.00,
  "crystal_system": "monoclinic",
  "space_group": "C2/m, No. 12",
  "density_kg_m3": 5645,
  "total_energy_ev_per_atom": -5.293
}

4.
{
  "formula": "Nd6Dy2Y3Mg",
  "functional": "GGA-PBE",
  "state": "optimized geometry",
  "cell": [[-2.767, 0.185, 5.609], [4.918, -3.751, -0.943], [6.441, 9.765, 1.690]],
  "species": ["Nd", "Y", "Dy", "Nd", "Dy", "Mg", "Nd", "Nd", "Y", "Nd", "Nd", "Y"],
  "fractional_positions": [[0.749, 0.749, 0.249], [0.834, 0.166, 0.500], [0.667, 0.333, 0.000], [0.251, 0.251, 0.751], [0.333, 0.667, 0.000], [0.000, 0.000, 0.000], [0.918, 0.585, 0.752], [0.415, 0.082, 0.248], [0.500, 0.500, 0.500], [0.585, 0.918, 0.752], [0.082, 0.415, 0.248], [0.166, 0.834, 0.500]],
  "formation_energy_ev_per_atom": 0.019,
  "magnetic_moment_mub_per_fu": 0.00,
  "crystal_system": "monoclinic",
  "space_group": "C2/m, No. 12",
  "density_kg_m3": 6239,
  "total_energy_ev_per_atom": -4.881
}

5.
{
  "formula": "NdDyYMg",
  "functional": "GGA-PBE",
  "state": "optimized geometry",
  "cell": [[-0.603, 5.177, -1.964], [-5.080, 1.960, -1.172], [-2.270, 3.948, 3.206]],
  "species": ["Nd", "Y", "Mg", "Dy"],
  "fractional_positions": [[0.500, 0.500, 0.500], [0.000, 0.000, 0.000], [0.250, 0.250, 0.250], [0.750, 0.750, 0.750]],
  "formation_energy_ev_per_atom": 0.038,
  "e_above_lowest_polymorph_ev_per_atom": 0.073,
  "magnetic_moment_mub_per_fu": 0.00,
  "crystal_system": "cubic",
  "space_group": "F-43m, No. 216",
  "density_kg_m3": 5708,
  "total_energy_ev_per_atom": -4.319
}

6.
{
  "formula": "Nd4DyY2Mg",
  "functional": "GGA-PBE",
  "state": "optimized geometry",
  "cell": [[-4.202, -1.530, -2.404], [2.805, -1.444, -3.983], [3.831, -10.625, 0.068]],
  "species": ["Nd", "Nd", "Y", "Dy", "Mg", "Y", "Nd", "Nd"],
  "fractional_positions": [[0.000, 0.254, 0.246], [0.500, 0.753, 0.246], [0.500, 0.000, 0.500], [0.000, 0.500, 0.500], [0.500, 0.500, 0.000], [0.000, 0.000, 0.000], [0.000, 0.746, 0.754], [0.500, 0.247, 0.754]],
  "formation_energy_ev_per_atom": 0.007,
  "magnetic_moment_mub_per_fu": 0.00,
  "crystal_system": "tetragonal",
  "space_group": "P4/mmm, No. 123",
  "density_kg_m3": 6008,
  "total_energy_ev_per_atom": -4.767
}

7.
{
  "formula": "NdDyYMg",
  "functional": "GGA-PBE",
  "state": "optimized geometry",
  "cell": [[3.670, 0.000, 0.000], [0.000, 3.670, 0.000], [0.000, 0.000, 9.078]],
  "species": ["Y", "Mg", "Dy", "Nd"],
  "fractional_positions": [[0.500, 0.500, 0.796], [0.000, 0.000, 0.571], [0.500, 0.500, 0.346], [0.000, 0.000, 0.073]],
  "formation_energy_ev_per_atom": -0.035,
  "e_above_lowest_polymorph_ev_per_atom": 0.000,
  "magnetic_moment_mub_per_fu": 0.00,
  "crystal_system": "tetragonal",
  "space_group": "P4mm, No. 99",
  "density_kg_m3": 5704,
  "total_energy_ev_per_atom": -4.392
}

8.
{
  "formula": "Nd2DyY4Mg",
  "functional": "GGA-PBE",
  "state": "optimized geometry",
  "cell": [[5.003, 0.000, 0.000], [0.000, 4.912, 1.018], [0.000, 2.850, 10.986]],
  "species": ["Y", "Y", "Y", "Mg", "Dy", "Nd", "Nd", "Y"],
  "fractional_positions": [[0.000, 0.251, 0.248], [0.500, 0.249, 0.751], [0.000, 0.749, 0.752], [0.500, 0.500, 0.000], [0.000, 0.500, 0.500], [0.000, 0.000, 0.000], [0.500, 0.000, 0.500], [0.500, 0.751, 0.249]],
  "formation_energy_ev_per_atom": 0.027,
  "magnetic_moment_mub_per_fu": 0.00,
  "crystal_system": "orthorhombic",
  "space_group": "Pmmm, No. 47",
  "density_kg_m3": 5400,
  "total_energy_ev_per_atom": -5.171
}

9.
{
  "formula": "NdDyMgZn",
  "functional": "GGA-PBE",
  "state": "optimized geometry",
  "cell": [[-2.944, -3.276, -2.887], [-0.116, -5.139, 1.146], [-4.349, -2.141, 2.060]],
  "species": ["Dy", "Zn", "Mg", "Nd"],
  "fractional_positions": [[0.500, 0.500, 0.500], [0.750, 0.750, 0.750], [0.250, 0.250, 0.250], [0.000, 0.000, 0.000]],
  "formation_energy_ev_per_atom": -0.175,
  "e_above_lowest_polymorph_ev_per_atom": 0.033,
  "magnetic_moment_mub_per_fu": 0.00,
  "crystal_system": "cubic",
  "space_group": "F-43m, No. 216",
  "density_kg_m3": 6374,
  "total_energy_ev_per_atom": -3.235
}

10.
{
  "formula": "NdDyMgZn",
  "functional": "GGA-PBE",
  "state": "optimized geometry",
  "cell": [[3.655, 0.000, 0.000], [0.000, 3.655, 0.000], [0.000, 0.000, 7.806]],
  "species": ["Dy", "Mg", "Nd", "Zn"],
  "fractional_positions": [[0.000, 0.000, 0.330], [0.500, 0.500, 0.595], [0.000, 0.000, 0.880], [0.500, 0.500, 0.123]],
  "formation_energy_ev_per_atom": -0.208,
  "e_above_lowest_polymorph_ev_per_atom": 0.000,
  "magnetic_moment_mub_per_fu": 0.00,
  "crystal_system": "tetragonal",
  "space_group": "P4mm, No. 99",
  "density_kg_m3": 6313,
  "total_energy_ev_per_atom": -3.268
}